# 1
# Ni4Hg (PBE, optimized geometry)
# calculated total energy	-4.28	eV per atom
# ΔH_f (0 K)	0.23	eV per atom
# M_tot	4.0	Bohr magnetons per cell
data_Ni4Hg
_chemical_formula_sum 'Ni8 Hg2'
_cell_length_a 6.9452
_cell_length_b 6.9452
_cell_length_c 2.6867
_cell_angle_alpha 90.00
_cell_angle_beta 90.00
_cell_angle_gamma 90.00
_space_group_name_H-M_alt 'P 4/m b m'
_space_group_IT_number 127
_space_group_name_Hall '-P 4 2ab'
loop_
_atom_site_label
_atom_site_fract_x
_atom_site_fract_y
_atom_site_fract_z
Ni1 0.1244 0.3756 0.0000
Ni2 0.1678 0.6678 0.5000
Hg1 0.0000 0.0000 0.0000

# 2
# PrCuOs (PBE, optimized geometry)
# calculated total energy	-5.94	eV per atom
# ΔH_f (0 K)	0.63	eV per atom
# M_tot	0.0	Bohr magnetons per cell
# ΔE to the lowest computed polymorph	0	meV per atom
data_PrCuOs
_chemical_formula_sum 'Pr4 Cu4 Os4'
_cell_length_a 6.4130
_cell_length_b 6.4130
_cell_length_c 6.4130
_cell_angle_alpha 90.00
_cell_angle_beta 90.00
_cell_angle_gamma 90.00
_space_group_name_H-M_alt 'F -4 3 m'
_space_group_IT_number 216
_space_group_name_Hall 'F -4 2 3'
loop_
_atom_site_label
_atom_site_fract_x
_atom_site_fract_y
_atom_site_fract_z
Pr1 0.0000 0.0000 0.0000
Cu1 0.0000 0.0000 0.5000
Os1 0.2500 0.2500 0.7500

# 3
# NbSnHg (PBE, optimized geometry)
# calculated total energy	-4.11	eV per atom
# M_tot	9.1	Bohr magnetons per cell
# ΔE to the lowest computed polymorph	172	meV per atom
data_NbSnHg
_chemical_formula_sum 'Nb4 Sn4 Hg4'
_cell_length_a 6.6689
_cell_length_b 6.6689
_cell_length_c 6.6689
_cell_angle_alpha 90.00
_cell_angle_beta 90.00
_cell_angle_gamma 90.00
_space_group_name_H-M_alt 'F -4 3 m'
_space_group_IT_number 216
_space_group_name_Hall 'F -4 2 3'
loop_
_atom_site_label
_atom_site_fract_x
_atom_site_fract_y
_atom_site_fract_z
Nb1 0.0000 0.0000 0.0000
Sn1 0.2500 0.2500 0.7500
Hg1 0.0000 0.0000 0.5000

# 4
# CoPtPbW (PBE, optimized geometry)
# calculated total energy	-6.88	eV per atom
# M_tot	0.3	Bohr magnetons per cell
# ΔE to the lowest computed polymorph	0	meV per atom
data_CoPtPbW
_chemical_formula_sum 'Co4 Pt4 Pb4 W4'
_cell_length_a 6.4032
_cell_length_b 6.4032
_cell_length_c 6.4032
_cell_angle_alpha 90.00
_cell_angle_beta 90.00
_cell_angle_gamma 90.00
_space_group_name_H-M_alt 'F -4 3 m'
_space_group_IT_number 216
_space_group_name_Hall 'F -4 2 3'
loop_
_atom_site_label
_atom_site_fract_x
_atom_site_fract_y
_atom_site_fract_z
Co1 0.0000 0.0000 0.0000
Pt1 0.2500 0.2500 0.2500
Pb1 0.2500 0.2500 0.7500
W1 0.0000 0.0000 0.5000

# 5
# Gd3Dy3Te2Os (PBE, optimized geometry)
# calculated total energy	-5.73	eV per atom
# M_tot	0.0	Bohr magnetons per cell
# ΔE to the lowest computed polymorph	39	meV per atom
data_Gd3Dy3Te2Os
_chemical_formula_sum 'Gd3 Dy3 Te2 Os1'
_cell_length_a 8.3579
_cell_length_b 8.3579
_cell_length_c 4.0548
_cell_angle_alpha 90.00
_cell_angle_beta 90.00
_cell_angle_gamma 120.00
_space_group_name_H-M_alt 'P -6 2 m'
_space_group_IT_number 189
_space_group_name_Hall 'P -6 -2'
loop_
_atom_site_label
_atom_site_fract_x
_atom_site_fract_y
_atom_site_fract_z
Gd1 0.0000 0.7594 0.0000
Dy1 0.0000 0.3918 0.5000
Te1 0.3333 0.6667 0.0000
Os1 0.0000 0.0000 0.5000

# 6
# NaTmF3 (PBE, optimized geometry)
# calculated total energy	-5.36	eV per atom
# M_tot	0.0	Bohr magnetons per cell
data_NaTmF3
_chemical_formula_sum 'Na4 Tm4 F12'
_cell_length_a 6.1019
_cell_length_b 7.5587
_cell_length_c 5.6519
_cell_angle_alpha 90.00
_cell_angle_beta 90.00
_cell_angle_gamma 90.00
_space_group_name_H-M_alt 'P n m a'
_space_group_IT_number 62
loop_
_space_group_symop_operation_xyz
'x,y,z'
'-x,-y,-z'
'-x+1/2,-y,z+1/2'
'x+1/2,y,-z+1/2'
'x+1/2,-y+1/2,-z+1/2'
'-x+1/2,y+1/2,z+1/2'
'-x,y+1/2,-z'
'x,-y+1/2,z'
loop_
_atom_site_label
_atom_site_fract_x
_atom_site_fract_y
_atom_site_fract_z
Na1 0.0433 0.2500 0.0250
Tm1 0.0000 0.0000 0.5000
F1 0.1002 0.7500 0.3204
F2 0.1675 0.5186 0.8440

# 7
# LiLaHfPd (PBE, optimized geometry)
# calculated total energy	-5.57	eV per atom
# M_tot	0.1	Bohr magnetons per cell
# ΔE to the lowest computed polymorph	8	meV per atom
data_LiLaHfPd
_chemical_formula_sum 'Li4 La4 Hf4 Pd4'
_cell_length_a 7.0357
_cell_length_b 7.0357
_cell_length_c 7.0357
_cell_angle_alpha 90.00
_cell_angle_beta 90.00
_cell_angle_gamma 90.00
_space_group_name_H-M_alt 'F -4 3 m'
_space_group_IT_number 216
_space_group_name_Hall 'F -4 2 3'
loop_
_atom_site_label
_atom_site_fract_x
_atom_site_fract_y
_atom_site_fract_z
Li1 0.0000 0.0000 0.0000
La1 0.2500 0.2500 0.2500
Hf1 0.2500 0.2500 0.7500
Pd1 0.0000 0.0000 0.5000

# 8
# CsRbMoSeS2 (PBE, optimized geometry)
# calculated total energy	-5.01	eV per atom
# M_tot	0.0	Bohr magnetons per cell
data_CsRbMoSeS2
_chemical_formula_sum 'Cs2 Rb2 Mo2 Se2 S4'
_cell_length_a 7.1969
_cell_length_b 7.8895
_cell_length_c 8.9849
_cell_angle_alpha 74.87
_cell_angle_beta 67.23
_cell_angle_gamma 63.68
_space_group_name_H-M_alt 'P -1'
_space_group_IT_number 2
loop_
_space_group_symop_operation_xyz
'x,y,z'
'-x,-y,-z'
loop_
_atom_site_label
_atom_site_fract_x
_atom_site_fract_y
_atom_site_fract_z
Cs1 0.1919 0.4112 0.1815
Rb1 0.4152 0.7959 0.3624
Mo1 0.1154 0.9454 0.8380
Se1 0.1199 0.1699 0.5997
S1 0.2374 0.0147 0.0076
S2 0.3100 0.6453 0.7689

# 9
# NaZnFeTc (PBE, optimized geometry)
# calculated total energy	-4.68	eV per atom
# M_tot	2.9	Bohr magnetons per cell
# ΔE to the lowest computed polymorph	13	meV per atom
data_NaZnFeTc
_chemical_formula_sum 'Na4 Zn4 Fe4 Tc4'
_cell_length_a 6.1553
_cell_length_b 6.1553
_cell_length_c 6.1553
_cell_angle_alpha 90.00
_cell_angle_beta 90.00
_cell_angle_gamma 90.00
_space_group_name_H-M_alt 'F -4 3 m'
_space_group_IT_number 216
_space_group_name_Hall 'F -4 2 3'
loop_
_atom_site_label
_atom_site_fract_x
_atom_site_fract_y
_atom_site_fract_z
Na1 0.0000 0.0000 0.0000
Zn1 0.2500 0.2500 0.7500
Fe1 0.2500 0.2500 0.2500
Tc1 0.0000 0.0000 0.5000

# 10
# ZrSc3As4 (PBE, optimized geometry)
# calculated total energy	-7.09	eV per atom
# M_tot	0.0	Bohr magnetons per cell
data_ZrSc3As4
_chemical_formula_sum 'Zr2 Sc6 As8'
_cell_length_a 7.7351
_cell_length_b 10.9252
_cell_length_c 3.8662
_cell_angle_alpha 90.00
_cell_angle_beta 90.00
_cell_angle_gamma 90.00
_space_group_name_H-M_alt 'C m m m'
_space_group_IT_number 65
_space_group_name_Hall '-C 2 2'
loop_
_atom_site_label
_atom_site_fract_x
_atom_site_fract_y
_atom_site_fract_z
Zr1 0.0000 0.0000 0.0000
Sc1 0.0000 0.5000 0.0000
Sc2 0.2500 0.2500 0.5000
As1 0.0000 0.2506 0.0000
As2 0.2484 0.5000 0.5000

# 11
# SrFeB4 (PBE, optimized geometry)
# calculated total energy	-6.10	eV per atom
# M_tot	1.6	Bohr magnetons per cell
# ΔE to the lowest computed polymorph	0	meV per atom
data_SrFeB4
_chemical_formula_sum 'Sr1 Fe1 B4'
_cell_length_a 3.0998
_cell_length_b 3.0998
_cell_length_c 7.2399
_cell_angle_alpha 90.00
_cell_angle_beta 90.00
_cell_angle_gamma 120.00
_space_group_name_H-M_alt 'P 6/m m m'
_space_group_IT_number 191
_space_group_name_Hall '-P 6 2'
loop_
_atom_site_label
_atom_site_fract_x
_atom_site_fract_y
_atom_site_fract_z
Sr1 0.0000 0.0000 0.0000
Fe1 0.0000 0.0000 0.5000
B1 0.3333 0.6667 0.3119

# 12
# NdZrMo (PBE, optimized geometry)
# calculated total energy	-6.65	eV per atom
# ΔH_f (0 K)	1.40	eV per atom
# M_tot	3.0	Bohr magnetons per cell
# ΔE to the lowest computed polymorph	412	meV per atom
data_NdZrMo
_chemical_formula_sum 'Nd4 Zr4 Mo4'
_cell_length_a 6.7104
_cell_length_b 6.7104
_cell_length_c 6.7104
_cell_angle_alpha 90.00
_cell_angle_beta 90.00
_cell_angle_gamma 90.00
_space_group_name_H-M_alt 'F -4 3 m'
_space_group_IT_number 216
_space_group_name_Hall 'F -4 2 3'
loop_
_atom_site_label
_atom_site_fract_x
_atom_site_fract_y
_atom_site_fract_z
Nd1 0.0000 0.0000 0.0000
Zr1 0.2500 0.2500 0.2500
Mo1 0.2500 0.2500 0.7500

# 13
# TlFeReIr (PBE, optimized geometry)
# calculated total energy	-7.30	eV per atom
# M_tot	12.4	Bohr magnetons per cell
# ΔE to the lowest computed polymorph	0	meV per atom
data_TlFeReIr
_chemical_formula_sum 'Tl4 Fe4 Re4 Ir4'
_cell_length_a 6.3275
_cell_length_b 6.3275
_cell_length_c 6.3275
_cell_angle_alpha 90.00
_cell_angle_beta 90.00
_cell_angle_gamma 90.00
_space_group_name_H-M_alt 'F -4 3 m'
_space_group_IT_number 216
_space_group_name_Hall 'F -4 2 3'
loop_
_atom_site_label
_atom_site_fract_x
_atom_site_fract_y
_atom_site_fract_z
Tl1 0.0000 0.0000 0.0000
Fe1 0.2500 0.2500 0.2500
Re1 0.0000 0.0000 0.5000
Ir1 0.2500 0.2500 0.7500